No. 1
The following is a SCAN calculation of Ti3AlC2 at its PBEsol-relaxed geometry, from Alexandria.

a = 3.0532 Å, b = 3.0532 Å, c = 18.5010 Å
α = 90.00°, β = 90.00°, γ = 120.00°
With the nearest neighbours (Å) after each atom.
Space group P6_3/mmc (No. 194)
Inequivalent atoms, fractional coordinates:
Ti 0.0000 0.0000 0.0000  6 C 2.18
Ti 0.3333 0.6667 0.1270  3 C 2.06
Al 0.0000 0.0000 0.2500  6 Ti 2.88, 6 Al 3.05
C 0.3333 0.6667 0.5692  6 Ti 2.06-2.18

Summary:
DFT formation energy in eV per atom: -0.869
VASP energy in eV per atom: -13.543

***

No. 2
The following is a SCAN calculation of TmAl3C3 at its PBEsol-relaxed geometry, from Alexandria.

a = 3.3950 Å, b = 3.3950 Å, c = 17.0609 Å
α = 90.00°, β = 90.00°, γ = 120.00°
With the nearest neighbours (Å) after each atom.
Space group P6_3/mmc (No. 194)
Inequivalent atoms, fractional coordinates:
Tm 0.0000 0.0000 0.0000  6 C 2.50
Al 0.3333 0.6667 0.1322  4 C 2.01-2.08
Al 0.3333 0.6667 0.7500  3 C 1.96
C 0.3333 0.6667 0.2500  5 Al 1.96-2.01
C 0.3333 0.6667 0.5906  3 Al 2.08

Summary:
DFT formation energy in eV per atom: -0.479
VASP energy in eV per atom: -15.534

***

No. 3
The following is a SCAN calculation of UAl3C3 at its PBEsol-relaxed geometry, from Alexandria.

a = 3.3634 Å, b = 3.3634 Å, c = 17.2755 Å
α = 90.00°, β = 90.00°, γ = 120.00°
With the nearest neighbours (Å) after each atom.
Space group P6_3/mmc (No. 194)
Inequivalent atoms, fractional coordinates:
U 0.0000 0.0000 0.0000  6 C 2.52
Al 0.3333 0.6667 0.1332  4 C 2.02-2.06
Al 0.3333 0.6667 0.7500  3 C 1.94
C 0.3333 0.6667 0.2500  5 Al 1.94-2.02
C 0.3333 0.6667 0.5933  3 Al 2.06

Summary:
DFT formation energy in eV per atom: -0.235
VASP energy in eV per atom: -22.675

***

No. 4
The following is a SCAN calculation of Al3WC at its PBEsol-relaxed geometry, from Alexandria.

a = 4.0395 Å, b = 4.0395 Å, c = 4.0395 Å
α = 90.00°, β = 90.00°, γ = 90.00°
With the nearest neighbours (Å) after each atom.
Space group Pm-3m (No. 221)
Inequivalent atoms, fractional coordinates:
Al 0.0000 0.0000 0.5000  2 C 2.02
W 0.5000 0.5000 0.5000  12 Al 2.86
C 0.0000 0.0000 0.0000  6 Al 2.02

Summary:
DFT formation energy in eV per atom: 0.551
VASP energy in eV per atom: -20.058

***

No. 5
The following is a SCAN calculation of Y3AlC at its PBEsol-relaxed geometry, from Alexandria.

a = 4.8373 Å, b = 4.8373 Å, c = 4.8373 Å
α = 90.00°, β = 90.00°, γ = 90.00°
With the nearest neighbours (Å) after each atom.
Space group Pm-3m (No. 221)
Inequivalent atoms, fractional coordinates:
Y 0.0000 0.0000 0.5000  2 C 2.42
Al 0.5000 0.5000 0.5000  12 Y 3.42
C 0.0000 0.0000 0.0000  6 Y 2.42

Summary:
DFT formation energy in eV per atom: -0.541
VASP energy in eV per atom: -20.817

***

No. 6
The following is a SCAN calculation of Y3AlC3 at its PBEsol-relaxed geometry, from Alexandria.

a = 6.9619 Å, b = 3.5293 Å, c = 9.9231 Å
α = 90.00°, β = 90.00°, γ = 90.00°
With the nearest neighbours (Å) after each atom.
Space group Pmma (No. 51)
Inequivalent atoms, fractional coordinates:
Y 0.0088 0.0000 0.1996  3 C 2.32-2.44
Y 0.2500 0.5000 0.4579  9 C 2.47-2.66
Al 0.2500 0.5000 0.0060  1 C 2.01
C 0.0095 0.0000 0.5665  1 C 1.33
C 0.2500 0.5000 0.2088  1 Al 2.01

Summary:
DFT formation energy in eV per atom: -0.525
VASP energy in eV per atom: -17.893

***

No. 7
The following is a SCAN calculation of Y5Al3C4 at its PBEsol-relaxed geometry, from Alexandria.

a = 10.7908 Å, b = 10.7908 Å, c = 3.4914 Å
α = 90.00°, β = 90.00°, γ = 90.00°
With the nearest neighbours (Å) after each atom.
Space group P4/mbm (No. 127)
Inequivalent atoms, fractional coordinates:
Y 0.0000 0.5000 0.0000  6 C 2.46-2.66
Y 0.0502 0.2293 0.5000  3 C 2.42-2.47
Al 0.0000 0.0000 0.0000  8 Y 3.08
Al 0.2038 0.7038 0.0000  3 C 2.06
C 0.1319 0.6319 0.5000  2 Al 2.06
C 0.1615 0.3385 0.0000  1 Al 2.06

Summary:
DFT formation energy in eV per atom: -0.534
VASP energy in eV per atom: -17.440

***

No. 8
The following is a SCAN calculation of Al2ZnC at its PBEsol-relaxed geometry, from Alexandria.

a = 5.9340 Å, b = 5.9340 Å, c = 5.9340 Å
α = 90.00°, β = 90.00°, γ = 90.00°
With the nearest neighbours (Å) after each atom.
Space group Fm-3m (No. 225)
Inequivalent atoms, fractional coordinates:
Al 0.2500 0.2500 0.2500  4 C 2.57, 4 Zn 2.57
Zn 0.0000 0.0000 0.0000  8 Al 2.57
C 0.0000 0.0000 0.5000  8 Al 2.57

Summary:
DFT formation energy in eV per atom: 1.019
VASP energy in eV per atom: -8.761